Density functional theory data (PBE with a Hubbard U) for an optimized crystal structure of Rb3PuCr2F9.

## Properties
Crystal system   trigonal
E_tot   -5.801 eV/atom
Size of the total moment   9.97 μB/cell
SG   P-3m1

Lattice parameters (Å, degrees): 6.2059 6.2059 7.7403 90.00 90.00 120.00
With the nearest neighbours (Å) after each atom.
Fractional positions:
Rb (0.3333, 0.6667, 0.6987)  9 F 2.94-3.10
Rb (0.0000, 0.0000, 0.0000)  12 F 3.04-3.10
Rb (0.6667, 0.3333, 0.3013)  9 F 2.94-3.10
Pu (0.0000, 0.0000, 0.5000)  6 F 2.39
Cr (0.3333, 0.6667, 0.1515)  6 F 2.09-2.14
Cr (0.6667, 0.3333, 0.8485)  6 F 2.09-2.14
F (0.8248, 0.1752, 0.6912)  1 Cr 2.09
F (0.8248, 0.6496, 0.6912)  1 Cr 2.09
F (0.3504, 0.1752, 0.6912)  1 Cr 2.09
F (0.6496, 0.8248, 0.3088)  1 Cr 2.09
F (0.1752, 0.3504, 0.3088)  1 Cr 2.09
F (0.1752, 0.8248, 0.3088)  1 Cr 2.09
F (0.5000, 0.0000, 0.0000)  2 Cr 2.14
F (0.0000, 0.5000, 0.0000)  2 Cr 2.14
F (0.5000, 0.5000, 0.0000)  2 Cr 2.14